1.
# RbBaSr2Hg

Crystalline RbBaSr2Hg at its relaxed geometry (PBE-GGA, the Alexandria database).

Summary:
Size of the total moment   0.00 μB/cell
Energy of formation from the pure elements   -0.682 eV per formula unit
Mass density   3.46 g cm⁻³
Energy above the lowest structure with this stoichiometry   0.0 kJ/mol of atoms

Lattice parameters (Å, degrees): 6.549 6.549 6.706 90.00 90.00 90.00
Fractional positions:
Rb (0.000, 0.000, 0.000)
Ba (0.500, 0.500, 0.000)
Sr (0.000, 0.500, 0.500)
Sr (0.500, 0.000, 0.500)
Hg (0.500, 0.500, 0.500)

=====

2.
# RbBaSr2Hg

Crystalline RbBaSr2Hg at its relaxed geometry (PBE-GGA, the Alexandria database).

Summary:
Size of the total moment   0.00 μB/cell
Energy of formation from the pure elements   -0.245 eV per formula unit
Mass density   3.45 g cm⁻³
Energy above the lowest structure with this stoichiometry   8.4 kJ/mol of atoms

Lattice parameters (Å, degrees): 6.458 6.458 6.917 90.00 90.00 90.00
Fractional positions:
Rb (0.000, 0.000, 0.000)
Ba (0.500, 0.500, 0.000)
Sr (0.000, 0.500, 0.500)
Sr (0.500, 0.000, 0.500)
Hg (0.000, 0.000, 0.500)

=====

3.
# Rb2BaTl12Hg3

Crystalline Rb2BaTl12Hg3 at its relaxed geometry (PBE-GGA, the Alexandria database).

Summary:
Size of the total moment   0.00 μB/cell
Energy of formation from the pure elements   0.381 eV per formula unit
Mass density   8.24 g cm⁻³

Lattice parameters (Å, degrees): 13.153 13.153 13.153 35.27 35.27 35.27
Fractional positions:
Rb (0.136, 0.136, 0.136)
Rb (0.864, 0.864, 0.864)
Ba (0.500, 0.500, 0.500)
Tl (0.056, 0.625, 0.625)
Tl (0.090, 0.090, 0.687)
Tl (0.090, 0.687, 0.090)
Tl (0.313, 0.910, 0.910)
Tl (0.375, 0.375, 0.944)
Tl (0.375, 0.944, 0.375)
Tl (0.625, 0.056, 0.625)
Tl (0.625, 0.625, 0.056)
Tl (0.687, 0.090, 0.090)
Tl (0.910, 0.313, 0.910)
Tl (0.910, 0.910, 0.313)
Tl (0.944, 0.375, 0.375)
Hg (0.000, 0.500, 0.500)
Hg (0.500, 0.000, 0.500)
Hg (0.500, 0.500, 0.000)

=====

Among the records above, which one has the highest mass density? Rb2BaTl12Hg3

=====

What is the energy of formation from the pure elements in the second record? -0.245 eV per formula unit